# 1
# LiNpPd2 (PBE-GGA, relaxed)
data_LiNpPd2
_chemical_formula_sum 'Li1 Np1 Pd2'
_cell_length_a 5.0524
_cell_length_b 5.0524
_cell_length_c 2.8876
_cell_angle_alpha 90.00
_cell_angle_beta 90.00
_cell_angle_gamma 90.00
_space_group_name_H-M_alt 'P 4/m m m'
_space_group_IT_number 123
_space_group_name_Hall '-P 4 2'
loop_
_atom_site_label
_atom_site_type_symbol
_atom_site_fract_x
_atom_site_fract_y
_atom_site_fract_z
Li1 Li 0.0000 0.0000 0.0000
Np1 Np 0.5000 0.5000 0.0000
Pd1 Pd 0.0000 0.5000 0.5000
# - energy relative to the elements (eV per atom) = -0.198
# - V (Å³/cell) = 73.7
# - magnetization (Bohr magnetons per cell) = 4.289

=====

# 2
# Fe2IrW (PBE-GGA, relaxed)
data_Fe2IrW
_chemical_formula_sum 'Fe4 Ir2 W2'
_cell_length_a 3.7501
_cell_length_b 3.7501
_cell_length_c 7.3279
_cell_angle_alpha 90.00
_cell_angle_beta 90.00
_cell_angle_gamma 90.00
_space_group_name_H-M_alt 'I 4/m m m'
_space_group_IT_number 139
_space_group_name_Hall '-I 4 2'
loop_
_atom_site_label
_atom_site_type_symbol
_atom_site_fract_x
_atom_site_fract_y
_atom_site_fract_z
Fe1 Fe 0.0000 0.5000 0.2500
Ir1 Ir 0.0000 0.0000 0.0000
W1 W 0.0000 0.0000 0.5000
# - energy relative to the elements (eV per atom) = -0.016
# - V (Å³/cell) = 103.1
# - magnetization (Bohr magnetons per cell) = 1.003

=====

Which formula does entry 1 have?
LiNpPd2

=====

Please write out number 2 again, unchanged.
# Fe2IrW (PBE-GGA, relaxed)
data_Fe2IrW
_chemical_formula_sum 'Fe4 Ir2 W2'
_cell_length_a 3.7501
_cell_length_b 3.7501
_cell_length_c 7.3279
_cell_angle_alpha 90.00
_cell_angle_beta 90.00
_cell_angle_gamma 90.00
_space_group_name_H-M_alt 'I 4/m m m'
_space_group_IT_number 139
_space_group_name_Hall '-I 4 2'
loop_
_atom_site_label
_atom_site_type_symbol
_atom_site_fract_x
_atom_site_fract_y
_atom_site_fract_z
Fe1 Fe 0.0000 0.5000 0.2500
Ir1 Ir 0.0000 0.0000 0.0000
W1 W 0.0000 0.0000 0.5000
# - energy relative to the elements (eV per atom) = -0.016
# - V (Å³/cell) = 103.1
# - magnetization (Bohr magnetons per cell) = 1.003

=====

Number 2 is which compound?
Fe2IrW